No. 1
# RuRhN2F | Alexandria | PBE-GGA | optimized geometry
# crystal system = tetragonal
# symmetry = P4/mmm
# density of states at the Fermi level = 4.26 states/eV/f.u.
# formation energy (no corrections) = 1165 meV/atom
data_RuRhN2F
_chemical_formula_sum 'Ru1 Rh1 N2 F1'
_symmetry_space_group_name_H-M 'P 1'
_symmetry_Int_Tables_number 1
_cell_length_a 3.875
_cell_length_b 3.875
_cell_length_c 4.115
_cell_angle_alpha 90.00
_cell_angle_beta 90.00
_cell_angle_gamma 90.00
loop_
_symmetry_equiv_pos_as_xyz
'x,y,z'
loop_
_atom_site_label
_atom_site_type_symbol
_atom_site_fract_x
_atom_site_fract_y
_atom_site_fract_z
_atom_site_occupancy
N1 N 0.500 0.000 0.000 1
N2 N 0.000 0.500 0.000 1
Ru1 Ru 0.500 0.500 0.500 1
F1 F 0.000 0.000 0.500 1
Rh1 Rh 0.000 0.000 0.000 1

---

No. 2
# LiErPuAu | Alexandria | PBE-GGA | optimized geometry
# crystal system = cubic
# symmetry = F-43m
# ΔH_f (0 K) = -0.18 eV/atom
# density of states at the Fermi level = 10.14 states/eV/f.u.
data_LiErPuAu
_chemical_formula_sum 'Li1 Er1 Pu1 Au1'
_symmetry_space_group_name_H-M 'P 1'
_symmetry_Int_Tables_number 1
_cell_length_a 5.100
_cell_length_b 5.100
_cell_length_c 5.100
_cell_angle_alpha 60.00
_cell_angle_beta 60.00
_cell_angle_gamma 60.00
loop_
_symmetry_equiv_pos_as_xyz
'x,y,z'
loop_
_atom_site_label
_atom_site_type_symbol
_atom_site_fract_x
_atom_site_fract_y
_atom_site_fract_z
_atom_site_occupancy
Er1 Er 0.750 0.750 0.750 1
Li1 Li 0.500 0.500 0.500 1
Pu1 Pu 0.250 0.250 0.250 1
Au1 Au 0.000 0.000 0.000 1

---

No. 3
# La2ZnNi | Alexandria | PBE-GGA | optimized geometry
# crystal system = tetragonal
# symmetry = I-42d
# ΔH_f (0 K) = -0.02 eV/atom
# density of states at the Fermi level = 4.73 states/eV/f.u.
data_La2ZnNi
_chemical_formula_sum 'La4 Zn2 Ni2'
_symmetry_space_group_name_H-M 'P 1'
_symmetry_Int_Tables_number 1
_cell_length_a 7.949
_cell_length_b 7.949
_cell_length_c 6.527
_cell_angle_alpha 52.49
_cell_angle_beta 52.49
_cell_angle_gamma 90.00
loop_
_symmetry_equiv_pos_as_xyz
'x,y,z'
loop_
_atom_site_label
_atom_site_type_symbol
_atom_site_fract_x
_atom_site_fract_y
_atom_site_fract_z
_atom_site_occupancy
Ni1 Ni 0.250 0.750 0.500 1
Ni2 Ni 0.500 0.500 0.000 1
La1 La 0.172 0.625 0.250 1
La2 La 0.375 0.422 0.750 1
La3 La 0.578 0.125 0.250 1
La4 La 0.875 0.828 0.750 1
Zn1 Zn 0.000 0.000 0.000 1
Zn2 Zn 0.750 0.250 0.500 1

---

No. 4
# TlTeS2 | Alexandria | PBE-GGA | optimized geometry
# crystal system = tetragonal
# symmetry = I-42d
# density of states at the Fermi level = 1.50 states/eV/f.u.
# formation energy (no corrections) = 77 meV/atom
data_TlTeS2
_chemical_formula_sum 'Tl2 Te2 S4'
_symmetry_space_group_name_H-M 'P 1'
_symmetry_Int_Tables_number 1
_cell_length_a 6.251
_cell_length_b 6.251
_cell_length_c 8.521
_cell_angle_alpha 68.48
_cell_angle_beta 68.48
_cell_angle_gamma 90.00
loop_
_symmetry_equiv_pos_as_xyz
'x,y,z'
loop_
_atom_site_label
_atom_site_type_symbol
_atom_site_fract_x
_atom_site_fract_y
_atom_site_fract_z
_atom_site_occupancy
Tl1 Tl 0.000 0.000 0.000 1
Tl2 Tl 0.750 0.250 0.500 1
S1 S 0.204 0.625 0.250 1
S2 S 0.875 0.796 0.750 1
S3 S 0.375 0.454 0.750 1
S4 S 0.546 0.125 0.250 1
Te1 Te 0.250 0.750 0.500 1
Te2 Te 0.500 0.500 0.000 1

---

No. 5
# PmNdHo2Hg4 | Alexandria | PBE-GGA | optimized geometry
# crystal system = trigonal
# symmetry = R-3m
# ΔH_f (0 K) = -0.47 eV/atom
# density of states at the Fermi level = 9.27 states/eV/f.u.
data_PmNdHo2Hg4
_chemical_formula_sum 'Pm1 Nd1 Ho2 Hg4'
_symmetry_space_group_name_H-M 'P 1'
_symmetry_Int_Tables_number 1
_cell_length_a 5.332
_cell_length_b 5.332
_cell_length_c 9.233
_cell_angle_alpha 73.22
_cell_angle_beta 73.22
_cell_angle_gamma 60.00
loop_
_symmetry_equiv_pos_as_xyz
'x,y,z'
loop_
_atom_site_label
_atom_site_type_symbol
_atom_site_fract_x
_atom_site_fract_y
_atom_site_fract_z
_atom_site_occupancy
Hg1 Hg 0.624 0.624 0.127 1
Hg2 Hg 0.376 0.376 0.873 1
Hg3 Hg 0.874 0.874 0.377 1
Hg4 Hg 0.126 0.126 0.623 1
Ho1 Ho 0.750 0.750 0.750 1
Ho2 Ho 0.250 0.250 0.250 1
Nd1 Nd 0.000 0.000 0.000 1
Pm1 Pm 0.500 0.500 0.500 1

---

No. 6
# CaCu4P | Alexandria | PBE-GGA | optimized geometry
# crystal system = cubic
# symmetry = F-43m
# ΔH_f (0 K) = -0.07 eV/atom
# density of states at the Fermi level = 2.16 states/eV/f.u.
data_CaCu4P
_chemical_formula_sum 'Ca1 Cu4 P1'
_symmetry_space_group_name_H-M 'P 1'
_symmetry_Int_Tables_number 1
_cell_length_a 5.042
_cell_length_b 5.042
_cell_length_c 5.042
_cell_angle_alpha 60.00
_cell_angle_beta 60.00
_cell_angle_gamma 60.00
loop_
_symmetry_equiv_pos_as_xyz
'x,y,z'
loop_
_atom_site_label
_atom_site_type_symbol
_atom_site_fract_x
_atom_site_fract_y
_atom_site_fract_z
_atom_site_occupancy
Cu1 Cu 0.375 0.375 0.875 1
Cu2 Cu 0.375 0.375 0.375 1
Cu3 Cu 0.375 0.875 0.375 1
Cu4 Cu 0.875 0.375 0.375 1
Ca1 Ca 0.000 0.000 0.000 1
P1 P 0.750 0.750 0.750 1

---

No. 7
# MnTlBr2 | Alexandria | PBE-GGA | optimized geometry
# crystal system = orthorhombic
# symmetry = Imm2
# density of states at the Fermi level = 2.02 states/eV/f.u.
# formation energy (no corrections) = -361 meV/atom
data_MnTlBr2
_chemical_formula_sum 'Mn1 Tl1 Br2'
_symmetry_space_group_name_H-M 'P 1'
_symmetry_Int_Tables_number 1
_cell_length_a 9.614
_cell_length_b 9.614
_cell_length_c 9.614
_cell_angle_alpha 158.90
_cell_angle_beta 158.42
_cell_angle_gamma 30.36
loop_
_symmetry_equiv_pos_as_xyz
'x,y,z'
loop_
_atom_site_label
_atom_site_type_symbol
_atom_site_fract_x
_atom_site_fract_y
_atom_site_fract_z
_atom_site_occupancy
Mn1 Mn 0.553 0.553 0.000 1
Tl1 Tl 0.310 0.810 0.500 1
Br1 Br 0.655 0.155 0.500 1
Br2 Br 0.982 0.982 0.000 1

---

No. 8
# Tl6In2Hg | Alexandria | PBE-GGA | optimized geometry
# crystal system = hexagonal
# symmetry = P-6m2
# ΔH_f (0 K) = 0.00 eV/atom
# density of states at the Fermi level = 4.02 states/eV/f.u.
data_Tl6In2Hg
_chemical_formula_sum 'Tl6 In2 Hg1'
_symmetry_space_group_name_H-M 'P 1'
_symmetry_Int_Tables_number 1
_cell_length_a 3.482
_cell_length_b 3.482
_cell_length_c 25.489
_cell_angle_alpha 90.00
_cell_angle_beta 90.00
_cell_angle_gamma 120.00
loop_
_symmetry_equiv_pos_as_xyz
'x,y,z'
loop_
_atom_site_label
_atom_site_type_symbol
_atom_site_fract_x
_atom_site_fract_y
_atom_site_fract_z
_atom_site_occupancy
Tl1 Tl 0.333 0.667 0.437 1
Tl2 Tl 0.333 0.667 0.563 1
Tl3 Tl 0.667 0.333 0.894 1
Tl4 Tl 0.333 0.667 0.221 1
Tl5 Tl 0.333 0.667 0.779 1
Tl6 Tl 0.667 0.333 0.106 1
In1 In 0.667 0.333 0.329 1
In2 In 0.667 0.333 0.671 1
Hg1 Hg 0.333 0.667 0.000 1